A geometry-optimized HoB2PbO6 structure. Source: the Alexandria database, functional GGA-PBE.

```
data_HoB2PbO6
_chemical_formula_sum 'Ho2 B4 Pb2 O12'
_cell_length_a 6.4974
_cell_length_b 6.4974
_cell_length_c 6.5918
_cell_angle_alpha 100.05
_cell_angle_beta 100.05
_cell_angle_gamma 103.41
_symmetry_space_group_name_H-M 'P 1'
_symmetry_Int_Tables_number 1
loop_
_symmetry_equiv_pos_as_xyz
'x,y,z'
loop_
_atom_site_label
_atom_site_fract_x
_atom_site_fract_y
_atom_site_fract_z
Ho1 0.4190 0.5810 0.7500
Ho2 0.5810 0.4190 0.2500
O1 0.4834 0.2951 0.8928
O2 0.0619 0.4827 0.7549
B1 0.4046 0.0936 0.7559
O3 0.5166 0.7049 0.1072
B2 0.9064 0.5954 0.7441
O4 0.2951 0.4834 0.3928
O5 0.7049 0.5166 0.6072
O6 0.2016 0.0506 0.6193
B3 0.5954 0.9064 0.2441
O7 0.9494 0.7984 0.8807
Pb1 0.1013 0.8987 0.2500
O8 0.5173 0.9381 0.7451
B4 0.0936 0.4046 0.2559
O9 0.9381 0.5173 0.2451
O10 0.4827 0.0619 0.2549
O11 0.0506 0.2016 0.1193
O12 0.7984 0.9494 0.3807
Pb2 0.8987 0.1013 0.7500
```

## Properties
- Volume: 260 Å³ per cell
- ρ: 6.26 g/cm³
- Space group: C2/c, No. 15


A geometry-optimized HoB2Pb2O6 structure. Source: the Alexandria database, functional GGA-PBE.

```
data_HoB2Pb2O6
_chemical_formula_sum 'Ho1 B2 Pb2 O6'
_cell_length_a 5.3200
_cell_length_b 5.5593
_cell_length_c 8.2291
_cell_angle_alpha 116.30
_cell_angle_beta 90.00
_cell_angle_gamma 118.59
_symmetry_space_group_name_H-M 'P 1'
_symmetry_Int_Tables_number 1
loop_
_symmetry_equiv_pos_as_xyz
'x,y,z'
loop_
_atom_site_label
_atom_site_fract_x
_atom_site_fract_y
_atom_site_fract_z
B1 0.8894 0.7787 0.6870
O1 0.2754 0.0952 0.3250
O2 0.7246 0.9048 0.6750
Pb1 0.6746 0.3491 0.2021
B2 0.1106 0.2213 0.3130
O3 0.1802 0.9048 0.6750
O4 0.2375 0.4751 0.2814
O5 0.7625 0.5249 0.7186
Ho1 0.5000 0.0000 0.5000
Pb2 0.3254 0.6509 0.7979
O6 0.8198 0.0952 0.3250
```

## Properties
- Volume: 185 Å³ per cell
- ρ: 6.27 g/cm³
- Space group: C2/m, No. 12


A geometry-optimized PrHo3B4O12 structure. Source: the Alexandria database, functional GGA-PBE.

```
data_PrHo3B4O12
_chemical_formula_sum 'Pr1 Ho3 B4 O12'
_cell_length_a 6.5233
_cell_length_b 6.5233
_cell_length_c 6.5233
_cell_angle_alpha 102.41
_cell_angle_beta 102.41
_cell_angle_gamma 102.41
_symmetry_space_group_name_H-M 'P 1'
_symmetry_Int_Tables_number 1
loop_
_symmetry_equiv_pos_as_xyz
'x,y,z'
loop_
_atom_site_label
_atom_site_fract_x
_atom_site_fract_y
_atom_site_fract_z
O1 0.8218 0.0277 0.6328
O2 0.9020 0.5000 0.0980
B1 0.5000 0.5000 0.5000
Ho1 0.0000 0.5369 0.4631
Ho2 0.4631 0.0000 0.5369
B2 0.9621 0.0379 0.5000
Pr1 0.0000 0.0000 0.0000
O3 0.9723 0.1782 0.3672
B3 0.0379 0.5000 0.9621
B4 0.5000 0.9621 0.0379
O4 0.5000 0.3641 0.6359
O5 0.3641 0.6359 0.5000
O6 0.0980 0.9020 0.5000
O7 0.3672 0.9723 0.1782
Ho3 0.5369 0.4631 0.0000
O8 0.6328 0.8218 0.0277
O9 0.1782 0.3672 0.9723
O10 0.5000 0.0980 0.9020
O11 0.6359 0.5000 0.3641
O12 0.0277 0.6328 0.8218
```

## Properties
- Volume: 255 Å³ per cell
- ρ: 5.68 g/cm³
- Space group: R32, No. 155


A geometry-optimized Ho3PuB4O12 structure. Source: the Alexandria database, functional GGA-PBE.

```
data_Ho3PuB4O12
_chemical_formula_sum 'Ho3 Pu1 B4 O12'
_cell_length_a 6.5177
_cell_length_b 6.5177
_cell_length_c 6.5177
_cell_angle_alpha 102.52
_cell_angle_beta 102.52
_cell_angle_gamma 102.52
_symmetry_space_group_name_H-M 'P 1'
_symmetry_Int_Tables_number 1
loop_
_symmetry_equiv_pos_as_xyz
'x,y,z'
loop_
_atom_site_label
_atom_site_fract_x
_atom_site_fract_y
_atom_site_fract_z
O1 0.6338 0.8244 0.0266
O2 0.3641 0.6359 0.5000
B1 0.5000 0.9639 0.0361
O3 0.0266 0.6338 0.8244
O4 0.1756 0.3662 0.9734
O5 0.8244 0.0266 0.6338
Pu1 0.0000 0.0000 0.0000
O6 0.0996 0.9004 0.5000
O7 0.6359 0.5000 0.3641
O8 0.5000 0.3641 0.6359
Ho1 0.0000 0.5358 0.4642
Ho2 0.5358 0.4642 0.0000
B2 0.5000 0.5000 0.5000
Ho3 0.4642 0.0000 0.5358
O9 0.5000 0.0996 0.9004
B3 0.9639 0.0361 0.5000
O10 0.9734 0.1756 0.3662
B4 0.0361 0.5000 0.9639
O11 0.3662 0.9734 0.1756
O12 0.9004 0.5000 0.0996
```

## Properties
- Volume: 254 Å³ per cell
- ρ: 6.38 g/cm³
- Space group: R32, No. 155


A geometry-optimized RbHo3B4O12 structure. Source: the Alexandria database, functional GGA-PBE.

```
data_RbHo3B4O12
_chemical_formula_sum 'Rb1 Ho3 B4 O12'
_cell_length_a 6.6676
_cell_length_b 6.6676
_cell_length_c 6.6676
_cell_angle_alpha 101.06
_cell_angle_beta 101.06
_cell_angle_gamma 101.06
_symmetry_space_group_name_H-M 'P 1'
_symmetry_Int_Tables_number 1
loop_
_symmetry_equiv_pos_as_xyz
'x,y,z'
loop_
_atom_site_label
_atom_site_fract_x
_atom_site_fract_y
_atom_site_fract_z
B1 0.9570 0.0430 0.5000
O1 0.3645 0.6355 0.5000
O2 0.0915 0.9085 0.5000
O3 0.4125 0.9903 0.2119
B2 0.5000 0.5000 0.5000
Ho1 0.5487 0.4513 0.0000
O4 0.0097 0.5875 0.7881
O5 0.5000 0.3645 0.6355
O6 0.9085 0.5000 0.0915
O7 0.2119 0.4125 0.9903
O8 0.6355 0.5000 0.3645
Rb1 0.0000 0.0000 0.0000
B3 0.5000 0.9570 0.0430
O9 0.7881 0.0097 0.5875
O10 0.9903 0.2119 0.4125
O11 0.5875 0.7881 0.0097
Ho2 0.4513 0.0000 0.5487
B4 0.0430 0.5000 0.9570
O12 0.5000 0.0915 0.9085
Ho3 0.0000 0.5487 0.4513
```

## Properties
- Volume: 277 Å³ per cell
- ρ: 4.88 g/cm³
- Space group: R32, No. 155


A geometry-optimized Rb2HoBO4 structure. Source: the Alexandria database, functional GGA-PBE.

```
data_Rb2HoBO4
_chemical_formula_sum 'Rb4 Ho2 B2 O8'
_cell_length_a 5.0641
_cell_length_b 6.3825
_cell_length_c 11.8714
_cell_angle_alpha 85.15
_cell_angle_beta 77.68
_cell_angle_gamma 66.63
_symmetry_space_group_name_H-M 'P 1'
_symmetry_Int_Tables_number 1
loop_
_symmetry_equiv_pos_as_xyz
'x,y,z'
loop_
_atom_site_label
_atom_site_fract_x
_atom_site_fract_y
_atom_site_fract_z
B1 0.5000 0.0000 0.0000
O1 0.1962 0.3432 0.4241
Ho1 0.7500 0.5000 0.5000
Rb1 0.1795 0.0000 0.6410
B2 0.2500 0.5000 0.5000
Ho2 0.0000 0.0000 0.0000
Rb2 0.8205 0.0000 0.3590
O2 0.3703 0.8432 0.0759
O3 0.5538 0.1568 0.0759
O4 0.7865 0.8432 0.9241
O5 0.3797 0.6568 0.4241
Rb3 0.5705 0.5000 0.8590
O6 0.9635 0.6568 0.5759
O7 0.4606 0.3432 0.5759
O8 0.2894 0.1568 0.9241
Rb4 0.9295 0.5000 0.1410
```

## Properties
- Volume: 344 Å³ per cell
- ρ: 3.96 g/cm³
- Space group: Fddd, No. 70


A geometry-optimized HoSc3B4O12 structure. Source: the Alexandria database, functional GGA-PBE.

```
data_HoSc3B4O12
_chemical_formula_sum 'Ho1 Sc3 B4 O12'
_cell_length_a 6.2507
_cell_length_b 6.2507
_cell_length_c 6.2507
_cell_angle_alpha 103.33
_cell_angle_beta 103.33
_cell_angle_gamma 103.33
_symmetry_space_group_name_H-M 'P 1'
_symmetry_Int_Tables_number 1
loop_
_symmetry_equiv_pos_as_xyz
'x,y,z'
loop_
_atom_site_label
_atom_site_fract_x
_atom_site_fract_y
_atom_site_fract_z
B1 0.5000 0.5000 0.5000
Sc1 0.4556 0.0000 0.5444
O1 0.5000 0.0959 0.9041
O2 0.1904 0.3631 0.9707
B2 0.0446 0.5000 0.9554
B3 0.9554 0.0446 0.5000
O3 0.6369 0.8096 0.0293
B4 0.5000 0.9554 0.0446
Ho1 0.0000 0.0000 0.0000
O4 0.5000 0.3593 0.6407
Sc2 0.0000 0.5444 0.4556
O5 0.3593 0.6407 0.5000
O6 0.9707 0.1904 0.3631
O7 0.9041 0.5000 0.0959
O8 0.0959 0.9041 0.5000
Sc3 0.5444 0.4556 0.0000
O9 0.0293 0.6369 0.8096
O10 0.6407 0.5000 0.3593
O11 0.3631 0.9707 0.1904
O12 0.8096 0.0293 0.6369
```

## Properties
- Volume: 221 Å³ per cell
- ρ: 4.03 g/cm³
- Space group: R32, No. 155


A geometry-optimized SmHo3B4O12 structure. Source: the Alexandria database, functional GGA-PBE.

```
data_SmHo3B4O12
_chemical_formula_sum 'Sm1 Ho3 B4 O12'
_cell_length_a 6.4976
_cell_length_b 6.4976
_cell_length_c 6.4976
_cell_angle_alpha 102.45
_cell_angle_beta 102.45
_cell_angle_gamma 102.45
_symmetry_space_group_name_H-M 'P 1'
_symmetry_Int_Tables_number 1
loop_
_symmetry_equiv_pos_as_xyz
'x,y,z'
loop_
_atom_site_label
_atom_site_fract_x
_atom_site_fract_y
_atom_site_fract_z
Sm1 0.0000 0.0000 0.0000
O1 0.3634 0.9726 0.1737
O2 0.6366 0.8263 0.0274
Ho1 0.5349 0.4651 0.0000
O3 0.3639 0.6361 0.5000
O4 0.0274 0.6366 0.8263
B1 0.5000 0.5000 0.5000
Ho2 0.0000 0.5349 0.4651
O5 0.1004 0.8996 0.5000
Ho3 0.4651 0.0000 0.5349
O6 0.5000 0.1004 0.8996
O7 0.6361 0.5000 0.3639
O8 0.5000 0.3639 0.6361
O9 0.9726 0.1737 0.3634
O10 0.1737 0.3634 0.9726
B2 0.9644 0.0356 0.5000
B3 0.0356 0.5000 0.9644
B4 0.5000 0.9644 0.0356
O11 0.8996 0.5000 0.1004
O12 0.8263 0.0274 0.6366
```

## Properties
- Volume: 252 Å³ per cell
- ρ: 5.81 g/cm³
- Space group: R32, No. 155


A geometry-optimized HoSnB2O6 structure. Source: the Alexandria database, functional GGA-PBE.

```
data_HoSnB2O6
_chemical_formula_sum 'Ho2 Sn2 B4 O12'
_cell_length_a 6.4202
_cell_length_b 6.4202
_cell_length_c 6.4463
_cell_angle_alpha 100.18
_cell_angle_beta 100.18
_cell_angle_gamma 102.27
_symmetry_space_group_name_H-M 'P 1'
_symmetry_Int_Tables_number 1
loop_
_symmetry_equiv_pos_as_xyz
'x,y,z'
loop_
_atom_site_label
_atom_site_fract_x
_atom_site_fract_y
_atom_site_fract_z
Sn1 0.0916 0.9084 0.2500
Sn2 0.9084 0.0916 0.7500
O1 0.0578 0.4673 0.7591
O2 0.4767 0.2938 0.8874
O3 0.0351 0.1950 0.1156
O4 0.1950 0.0351 0.6156
O5 0.8050 0.9649 0.3844
O6 0.2938 0.4767 0.3874
O7 0.7062 0.5233 0.6126
O8 0.4673 0.0578 0.2591
B1 0.9095 0.5935 0.7496
Ho1 0.4145 0.5855 0.7500
Ho2 0.5855 0.4145 0.2500
B2 0.4065 0.0905 0.7504
B3 0.0905 0.4065 0.2504
O9 0.9422 0.5327 0.2409
O10 0.5233 0.7062 0.1126
O11 0.9649 0.8050 0.8844
B4 0.5935 0.9095 0.2496
O12 0.5327 0.9422 0.7409
```

## Properties
- Volume: 249 Å³ per cell
- ρ: 5.35 g/cm³
- Space group: C2/c, No. 15


A geometry-optimized SrHo3B4O12 structure. Source: the Alexandria database, functional GGA-PBE.

```
data_SrHo3B4O12
_chemical_formula_sum 'Sr1 Ho3 B4 O12'
_cell_length_a 6.5772
_cell_length_b 6.5772
_cell_length_c 6.5772
_cell_angle_alpha 102.17
_cell_angle_beta 102.17
_cell_angle_gamma 102.17
_symmetry_space_group_name_H-M 'P 1'
_symmetry_Int_Tables_number 1
loop_
_symmetry_equiv_pos_as_xyz
'x,y,z'
loop_
_atom_site_label
_atom_site_fract_x
_atom_site_fract_y
_atom_site_fract_z
B1 0.9575 0.0425 0.5000
Ho1 0.5409 0.4591 0.0000
O1 0.5000 0.0933 0.9067
O2 0.9067 0.5000 0.0933
Ho2 0.4591 0.0000 0.5409
O3 0.6194 0.8094 0.0237
O4 0.0933 0.9067 0.5000
B2 0.5000 0.9575 0.0425
Sr1 0.0000 0.0000 0.0000
B3 0.0425 0.5000 0.9575
O5 0.1906 0.3806 0.9763
O6 0.8094 0.0237 0.6194
O7 0.5000 0.3646 0.6354
Ho3 0.0000 0.5409 0.4591
O8 0.3806 0.9763 0.1906
O9 0.9763 0.1906 0.3806
B4 0.5000 0.5000 0.5000
O10 0.6354 0.5000 0.3646
O11 0.3646 0.6354 0.5000
O12 0.0237 0.6194 0.8094
```

## Properties
- Volume: 262 Å³ per cell
- ρ: 5.18 g/cm³
- Space group: R32, No. 155


A geometry-optimized SrHoB2O6 structure. Source: the Alexandria database, functional GGA-PBE.

```
data_SrHoB2O6
_chemical_formula_sum 'Sr2 Ho2 B4 O12'
_cell_length_a 6.4091
_cell_length_b 6.4091
_cell_length_c 6.8106
_cell_angle_alpha 101.25
_cell_angle_beta 101.25
_cell_angle_gamma 102.22
_symmetry_space_group_name_H-M 'P 1'
_symmetry_Int_Tables_number 1
loop_
_symmetry_equiv_pos_as_xyz
'x,y,z'
loop_
_atom_site_label
_atom_site_fract_x
_atom_site_fract_y
_atom_site_fract_z
Sr1 0.1283 0.8717 0.2500
O1 0.4681 0.7022 0.0953
B1 0.8796 0.6046 0.7505
Sr2 0.8717 0.1283 0.7500
O2 0.5319 0.2978 0.9047
O3 0.2978 0.5319 0.4047
B2 0.6046 0.8796 0.2505
Ho1 0.4212 0.5788 0.7500
O4 0.5467 0.0746 0.2848
O5 0.2208 0.1580 0.6226
O6 0.1580 0.2208 0.1226
O7 0.9254 0.4533 0.2152
O8 0.4533 0.9254 0.7152
B3 0.1204 0.3954 0.2495
O9 0.0746 0.5467 0.7848
O10 0.8420 0.7792 0.8774
Ho2 0.5788 0.4212 0.2500
O11 0.7792 0.8420 0.3774
B4 0.3954 0.1204 0.7495
O12 0.7022 0.4681 0.5953
```

## Properties
- Volume: 260 Å³ per cell
- ρ: 4.73 g/cm³
- Space group: C2/c, No. 15


A geometry-optimized SrHoBO4 structure. Source: the Alexandria database, functional GGA-PBE.

```
data_SrHoBO4
_chemical_formula_sum 'Sr2 Ho2 B2 O8'
_cell_length_a 5.0620
_cell_length_b 5.2625
_cell_length_c 6.7880
_cell_angle_alpha 90.00
_cell_angle_beta 107.85
_cell_angle_gamma 90.00
_symmetry_space_group_name_H-M 'P 1'
_symmetry_Int_Tables_number 1
loop_
_symmetry_equiv_pos_as_xyz
'x,y,z'
loop_
_atom_site_label
_atom_site_fract_x
_atom_site_fract_y
_atom_site_fract_z
Sr1 0.7041 0.7500 0.9256
O1 0.9685 0.4768 0.7306
Ho1 0.2169 0.2500 0.5398
B1 0.2190 0.7500 0.3090
O2 0.5926 0.2500 0.8235
O3 0.0315 0.5232 0.2694
O4 0.9685 0.0232 0.7306
B2 0.7810 0.2500 0.6910
Sr2 0.2959 0.2500 0.0744
O5 0.4074 0.7500 0.1765
O6 0.6208 0.2500 0.4616
Ho2 0.7831 0.7500 0.4602
O7 0.3792 0.7500 0.5384
O8 0.0315 0.9768 0.2694
```

## Properties
- Volume: 172 Å³ per cell
- ρ: 6.32 g/cm³
- Space group: P2_1/m, No. 11


One value per record, in order, for VASP energy: -7.52 -7.21 -8.32 -8.71 -7.75 -6.22 -8.52 -8.32 -7.61 -8.02 -7.69 -7.72 eV/atom.